No. 1
AcTlClO after structural relaxation. Source: Alexandria, functional PBE.

abc: 4.243 4.243 13.608
angles: 90.00 90.00 90.00
Positions (direct):
Ac 0.750 0.750 0.906
Ac 0.250 0.250 0.094
Tl 0.250 0.750 0.500
Tl 0.750 0.250 0.500
Cl 0.750 0.750 0.199
Cl 0.250 0.250 0.801
O 0.750 0.250 0.000
O 0.250 0.750 0.000



No. 2
AcTl2ClO4 after structural relaxation. Source: Alexandria, functional PBE.

abc: 4.160 4.160 9.099
angles: 90.00 90.00 90.00
Positions (direct):
Ac 0.000 0.000 0.000
Tl 0.500 0.500 0.267
Tl 0.500 0.500 0.733
Cl 0.000 0.000 0.500
O 0.000 0.500 0.172
O 0.500 0.000 0.828
O 0.500 0.000 0.172
O 0.000 0.500 0.828



No. 3
AcTlCl2O after structural relaxation. Source: Alexandria, functional PBE.

abc: 4.250 4.250 17.017
angles: 90.00 90.00 90.00
Positions (direct):
Ac 0.500 0.000 0.575
Ac 0.000 0.500 0.425
Tl 0.500 0.000 0.110
Tl 0.000 0.500 0.890
Cl 0.000 0.500 0.659
Cl 0.000 0.500 0.072
Cl 0.500 0.000 0.928
Cl 0.500 0.000 0.341
O 0.000 0.000 0.500
O 0.500 0.500 0.500



| no. | formation energy from raw total energies (eV/atom) | D(E_F) (states/eV/cell) |
| --- | --- | --- |
| 1 | -2.200 | 2.51 |
| 2 | -1.310 | 5.56 |
| 3 | -2.240 | 0.00 |